[1]
## Tl4BrCl3 (SCAN)

Data for a crystal of Tl4BrCl3 relaxed with PBEsol.

Calculated values
Formation energy without anion corrections   -1.023 eV per atom

```
Tl4BrCl3
1.0
3.794 0.000 0.000
0.000 5.367 0.000
0.000 0.000 10.699
Tl Br Cl
4 1 3
direct
0.000 0.000 0.000
0.000 0.000 0.500
0.000 0.500 0.243
0.000 0.500 0.757
0.500 0.500 0.500
0.500 0.000 0.247
0.500 0.000 0.753
0.500 0.500 0.000
```

[2]
## TlBrCl2 (SCAN)

Data for a crystal of TlBrCl2 relaxed with PBEsol.

Calculated values
Formation energy without anion corrections   -0.591 eV per atom
Relative energy among the computed polymorphs   0.0 meV/atom

```
TlBrCl2
1.0
4.609 -2.431 0.000
4.609 2.431 0.000
-0.560 0.000 5.288
Tl Br Cl
1 1 2
direct
0.000 0.000 0.000
0.500 0.500 0.500
0.308 0.308 0.770
0.692 0.692 0.230
```

[3]
## Tl2BrCl (SCAN)

Data for a crystal of Tl2BrCl relaxed with PBEsol.

Calculated values
Formation energy without anion corrections   -0.980 eV per atom
Relative energy among the computed polymorphs   1.3 meV/atom

```
Tl2BrCl
1.0
4.768 0.000 0.000
0.000 2.126 5.954
0.000 -2.126 5.954
Tl Br Cl
2 1 1
direct
0.000 0.000 0.000
0.500 0.220 0.220
0.500 0.478 0.478
0.000 0.752 0.752
```